1.
ErTmMnGa | Alexandria | PBE | relaxed; energy relative to the elements = -68 kJ/mol of formula units; calculated total energy = -21.93 eV per formula unit
1.0
7.040 0.000 0.000
0.000 7.040 0.000
0.000 0.000 7.040
Er Tm Mn Ga
4 4 4 4
Direct
0.000 0.000 0.000
0.000 0.500 0.500
0.500 0.000 0.500
0.500 0.500 0.000
0.000 0.000 0.500
0.000 0.500 0.000
0.500 0.000 0.000
0.500 0.500 0.500
0.250 0.250 0.250
0.250 0.750 0.750
0.750 0.250 0.750
0.750 0.750 0.250
0.250 0.250 0.750
0.250 0.750 0.250
0.750 0.250 0.250
0.750 0.750 0.750


2.
Ti3MnPt | Alexandria | PBE | relaxed; energy above the most stable polymorph in this dataset = 0 meV/atom; energy relative to the elements = 80 kJ/mol of formula units; calculated total energy = -38.06 eV per formula unit
1.0
4.403 0.000 0.000
0.000 4.403 0.000
0.000 0.000 4.403
Ti Mn Pt
3 1 1
Direct
0.000 0.000 0.500
0.000 0.500 0.000
0.500 0.000 0.000
0.000 0.000 0.000
0.500 0.500 0.500